# PuTh2Sc3 (PBE, optimized geometry)
# Formation energy ... 0.40 eV per formula unit
# DFT total energy ... -7.960 eV per atom
# V ... 326.33 Å³ per cell
data_PuTh2Sc3
_chemical_formula_sum 'Pu2 Th4 Sc6'
_space_group_name_H-M_alt 'P 1'
_space_group_IT_number 1
_cell_length_a 5.485
_cell_length_b 9.081
_cell_length_c 6.709
_cell_angle_alpha 102.42
_cell_angle_beta 90.00
_cell_angle_gamma 90.00
loop_
_space_group_symop_operation_xyz
'x,y,z'
loop_
_atom_site_label
_atom_site_fract_x
_atom_site_fract_y
_atom_site_fract_z
Pu1 0.493 0.226 0.321
Sc1 0.993 0.103 0.018
Th1 0.993 0.440 0.345
Sc2 0.493 0.897 0.982
Sc3 0.493 0.228 0.831
Pu2 0.993 0.774 0.679
Th2 0.493 0.890 0.486
Th3 0.993 0.110 0.514
Sc4 0.993 0.772 0.169
Sc5 0.493 0.556 0.144
Sc6 0.993 0.444 0.856
Th4 0.493 0.560 0.655